(1)
Compound: MnSi2P
Source: Alexandria via LeMat-Bulk
Functional: PBE-GGA
Structure: relaxed Values from VASP.

## Properties
Formation energy (no corrections) in eV/atom: 0.094
Mass density in g/cm3: 4.8
Final energy in eV/atom: -6.26

```
&SYSTEM
  ibrav = 0, nat = 4, ntyp = 3
/
ATOMIC_SPECIES
P 30.97 P.upf
Mn 54.94 Mn.upf
Si 28.09 Si.upf
CELL_PARAMETERS angstrom
4.227 -0.005 -0.010
3.186 2.779 -0.010
0.406 0.152 4.208
ATOMIC_POSITIONS angstrom
P 1.837 0.687 1.168
Mn 3.936 1.473 2.064
Si 5.953 2.228 3.058
Si 0.410 0.153 4.199
```

(2)
Compound: MnSi2P
Source: Alexandria via LeMat-Bulk
Functional: PBE-GGA
Structure: relaxed Values from VASP.

## Properties
Formation energy (no corrections) in eV/atom: 0.289
Mass density in g/cm3: 4.0
Final energy in eV/atom: -6.07

```
&SYSTEM
  ibrav = 0, nat = 4, ntyp = 3
/
ATOMIC_SPECIES
Si 28.09 Si.upf
Mn 54.94 Mn.upf
P 30.97 P.upf
CELL_PARAMETERS angstrom
-0.600 -3.165 1.189
2.051 0.621 2.689
-3.876 1.699 2.565
ATOMIC_POSITIONS angstrom
Si 0.726 -1.272 1.939
Si 0.000 0.000 0.000
Mn -2.238 -0.733 1.877
P -0.913 1.160 2.627
```

(3)
Compound: MnSiP
Source: Alexandria via LeMat-Bulk
Functional: PBE-GGA
Structure: relaxed Values from VASP.

## Properties
Formation energy (no corrections) in eV/atom: -0.255
Mass density in g/cm3: 5.0
Final energy in eV/atom: -6.92

```
&SYSTEM
  ibrav = 0, nat = 12, ntyp = 3
/
ATOMIC_SPECIES
Si 28.09 Si.upf
Mn 54.94 Mn.upf
P 30.97 P.upf
CELL_PARAMETERS angstrom
2.688 0.000 0.000
0.000 5.486 0.000
0.000 0.000 10.350
ATOMIC_POSITIONS angstrom
Si 0.672 2.076 2.059
Si 2.016 0.666 7.234
Si 2.016 3.409 8.290
Si 0.672 4.819 3.116
Mn 0.672 2.511 6.338
Mn 0.672 5.254 9.186
Mn 2.016 0.232 1.163
Mn 2.016 2.975 4.011
P 2.016 1.497 9.686
P 0.672 3.989 0.663
P 0.672 1.246 4.511
P 2.016 4.240 5.838
```

| no. | Fermi-level density of states (states/eV per cell) | calculated volume (Å³ per atom) |
| --- | --- | --- |
| 1 | 1.76 | 12.4 |
| 2 | 2.11 | 14.6 |
| 3 | 4.99 | 12.7 |